Record 1
A plane-wave DFT calculation with PBE was carried out for a relaxed structure of SiAu.

a b c (Å): 11.0304 11.0304 3.7915
angles (deg): 90.00 90.00 90.00
Closest atoms and distances in Å follow each position.
Space group P4/m (No. 83)
One atom of each set of equivalent atoms:
Si 0.0721 0.3380 0.0000 (multiplicity 4)  4 Au 2.44-2.56, 2 Si 2.69
Si 0.0976 0.6969 0.5000 (multiplicity 4)  4 Au 2.39-2.58
Au 0.1134 0.2029 0.5000 (multiplicity 4)  4 Si 2.39-2.58
Au 0.1320 0.5507 0.0000 (multiplicity 4)  4 Si 2.44-2.56

Summary:
Formation energy (no corrections): 252 meV per atom
Raw total energy: -4.10 eV/atom

***

Record 2
A plane-wave DFT calculation with PBE was carried out for a relaxed structure of KIr2Rh.

a b c (Å): 5.6950 8.8046 2.6657
angles (deg): 90.00 90.00 90.00
Closest atoms and distances in Å follow each position.
Space group Cmmm (No. 65)
One atom of each set of equivalent atoms:
K 0.0000 0.0000 0.0000 (multiplicity 2)  2 K 2.67, 2 Rh 2.85, 8 Ir 2.94
Ir 0.2500 0.2500 0.5000 (multiplicity 4)  4 Ir 2.67-2.85, 4 K 2.94, 4 Rh 2.94
Rh 0.0000 0.5000 0.0000 (multiplicity 2)  2 Rh 2.67, 2 K 2.85, 8 Ir 2.94

Summary:
Energy of formation: 0.88 eV per atom
Raw total energy: -5.66 eV/atom
Energy relative to the lowest polymorph listed for this composition: 429 meV/atom

***

Record 3
A plane-wave DFT calculation with PBE was carried out for a relaxed structure of LiHRh.

a b c (Å): 4.5899 2.8050 4.8677
angles (deg): 90.00 109.69 90.00
Closest atoms and distances in Å follow each position.
Space group P2_1/m (No. 11)
One atom of each set of equivalent atoms:
Li 0.0081 0.2500 0.2447 (multiplicity 2)  3 H 2.13-2.16
H 0.3180 0.7500 0.5225 (multiplicity 2)  3 Rh 1.83-1.86
Rh 0.4948 0.2500 0.7631 (multiplicity 2)  3 H 1.83-1.86

Summary:
Raw total energy: -4.51 eV/atom

***

Record 4
A plane-wave DFT calculation with PBE was carried out for a relaxed structure of Ca5DyZn6.

a b c (Å): 5.1640 15.4436 7.3396
angles (deg): 90.00 90.00 90.00
Closest atoms and distances in Å follow each position.
Space group Cmmm (No. 65)
One atom of each set of equivalent atoms:
Ca 0.0000 0.0000 0.0000 (multiplicity 2)  8 Zn 3.14-3.23
Ca 0.0000 0.3323 0.5000 (multiplicity 4)  8 Zn 3.12-3.17
Ca 0.0000 0.3330 0.0000 (multiplicity 4)  8 Zn 3.20-3.24
Dy 0.0000 0.0000 0.5000 (multiplicity 2)  8 Zn 3.08-3.11
Zn 0.0000 0.1623 0.2567 (multiplicity 8)  1 Dy 3.08, 7 Ca 3.14-3.24
Zn 0.0000 0.5000 0.2641 (multiplicity 4)  2 Dy 3.11, 6 Ca 3.12-3.23, 1 Zn 3.46

Summary:
Energy of formation: -0.26 eV per atom
Raw total energy: -2.11 eV/atom

***

Record 5
A plane-wave DFT calculation with PBE was carried out for a relaxed structure of Sc2Si2Ir.

a b c (Å): 3.9334 5.1776 8.3083
angles (deg): 90.00 90.00 90.00
Closest atoms and distances in Å follow each position.
Space group Immm (No. 71)
One atom of each set of equivalent atoms:
Sc 0.0000 0.0000 0.2062 (multiplicity 4)  6 Si 2.81-2.87, 4 Ir 3.10-3.13
Si 0.0000 0.2701 0.5000 (multiplicity 4)  1 Si 2.38, 2 Ir 2.41
Ir 0.0000 0.5000 0.0000 (multiplicity 2)  4 Si 2.41

Summary:
Formation energy (no corrections): -973 meV per atom
Raw total energy: -7.45 eV/atom

***

Record 6
A plane-wave DFT calculation with PBE was carried out for a relaxed structure of Nd2YPu.

a b c (Å): 8.0716 8.0716 8.0716
angles (deg): 90.00 90.00 90.00
Closest atoms and distances in Å follow each position.
Space group Fm-3m (No. 225)
One atom of each set of equivalent atoms:
Nd 0.2500 0.2500 0.2500 (multiplicity 8)  4 Pu 3.50, 4 Y 3.50
Y 0.0000 0.0000 0.0000 (multiplicity 4)  8 Nd 3.50
Pu 0.0000 0.0000 0.5000 (multiplicity 4)  8 Nd 3.50

Summary:
Energy of formation: 0.22 eV per atom
Raw total energy: -7.37 eV/atom
Energy relative to the lowest polymorph listed for this composition: 103 meV/atom

***

Record 7
A plane-wave DFT calculation with PBE was carried out for a relaxed structure of HoTmGe2.

a b c (Å): 4.7210 4.7210 3.9697
angles (deg): 90.00 90.00 90.00
Closest atoms and distances in Å follow each position.
Space group P4/mmm (No. 123)
One atom of each set of equivalent atoms:
Ho 0.0000 0.0000 0.0000 (multiplicity 1)  8 Ge 3.08, 4 Tm 3.34
Tm 0.5000 0.5000 0.0000 (multiplicity 1)  8 Ge 3.08, 4 Ho 3.34
Ge 0.0000 0.5000 0.5000 (multiplicity 2)  4 Ho 3.08, 4 Tm 3.08, 4 Ge 3.34

Summary:
Energy of formation: -0.62 eV per atom
Raw total energy: -5.19 eV/atom
Energy relative to the lowest polymorph listed for this composition: 231 meV/atom

***

Record 8
A plane-wave DFT calculation with PBE was carried out for a relaxed structure of CoCuNi2.

a b c (Å): 2.4942 2.4942 24.7116
angles (deg): 90.00 90.00 120.00
Closest atoms and distances in Å follow each position.
Space group R3m (No. 160, hexagonal axes)
One atom of each set of equivalent atoms:
Co 0.0000 0.0000 0.0000 (multiplicity 3)  3 Ni 2.46, 6 Co 2.49, 3 Cu 2.56
Cu 0.0000 0.0000 0.7525 (multiplicity 3)  6 Cu 2.49, 3 Ni 2.53, 3 Co 2.56
Ni 0.0000 0.0000 0.2528 (multiplicity 3)  3 Co 2.46, 9 Ni 2.49-2.50
Ni 0.0000 0.0000 0.5034 (multiplicity 3)  9 Ni 2.49-2.50, 3 Cu 2.53

Summary:
Energy of formation: 0.03 eV per atom
Raw total energy: -5.67 eV/atom

***

Record 9
A plane-wave DFT calculation with PBE was carried out for a relaxed structure of BaMgHgPb2.

a b c (Å): 5.5880 5.5880 5.5095
angles (deg): 90.00 90.00 90.00
Closest atoms and distances in Å follow each position.
Space group P4/mmm (No. 123)
One atom of each set of equivalent atoms:
Ba 0.0000 0.0000 0.0000 (multiplicity 1)  8 Pb 3.92, 4 Hg 3.95
Mg 0.5000 0.5000 0.5000 (multiplicity 1)  2 Hg 2.75, 4 Pb 2.79
Hg 0.5000 0.5000 0.0000 (multiplicity 1)  2 Mg 2.75
Pb 0.0000 0.5000 0.5000 (multiplicity 2)  2 Mg 2.79

Summary:
Energy of formation: -0.15 eV per atom
Raw total energy: -2.40 eV/atom
Energy relative to the lowest polymorph listed for this composition: 166 meV/atom

***

Record 10
A plane-wave DFT calculation with PBE was carried out for a relaxed structure of LiAgO2.

a b c (Å): 5.2617 3.1492 6.1906
angles (deg): 90.00 92.16 90.00
Closest atoms and distances in Å follow each position.
Space group P2/m (No. 10)
One atom of each set of equivalent atoms:
Li 0.0251 0.0000 0.2304 (multiplicity 2)  4 O 1.94-1.97
Ag 0.5000 0.5000 0.0000 (multiplicity 1)  4 O 2.05
Ag 0.5000 0.5000 0.5000 (multiplicity 1)  2 O 2.19
O 0.0927 0.5000 0.4132 (multiplicity 2)  1 O 1.48
O 0.2515 0.0000 0.9849 (multiplicity 2)  2 Li 1.94-1.97, 2 Ag 2.05

Summary:
Formation energy (no corrections): -712 meV per atom
Raw total energy: -4.38 eV/atom

***

Record 11
A plane-wave DFT calculation with PBE was carried out for a relaxed structure of CdRe2Pb.

a b c (Å): 2.9632 2.9632 31.1467
angles (deg): 90.00 90.00 120.00
Closest atoms and distances in Å follow each position.
Space group R3m (No. 160, hexagonal axes)
One atom of each set of equivalent atoms:
Cd 0.0000 0.0000 0.0000 (multiplicity 3)  6 Cd 2.96, 3 Re 3.02
Re 0.0000 0.0000 0.2534 (multiplicity 3)  3 Re 2.62
Re 0.0000 0.0000 0.5231 (multiplicity 3)  3 Re 2.62
Pb 0.0000 0.0000 0.7715 (multiplicity 3)  6 Pb 2.96, 3 Re 3.15

Summary:
Energy of formation: 0.45 eV per atom
Raw total energy: -6.93 eV/atom
Energy relative to the lowest polymorph listed for this composition: 116 meV/atom

***

Record 12
A plane-wave DFT calculation with PBE was carried out for a relaxed structure of Tm2GeB2Rh5.

a b c (Å): 9.3475 9.3475 3.2370
angles (deg): 90.00 90.00 90.00
Closest atoms and distances in Å follow each position.
Space group P4/mbm (No. 127)
One atom of each set of equivalent atoms:
Tm 0.1750 0.3250 0.0000 (multiplicity 4)  3 B 2.69-2.82, 10 Rh 2.82-2.98
Ge 0.0000 0.0000 0.0000 (multiplicity 2)  8 Rh 2.68
B 0.1218 0.6218 0.0000 (multiplicity 4)  6 Rh 2.26-2.28
Rh 0.0000 0.5000 0.5000 (multiplicity 2)  4 B 2.28
Rh 0.0704 0.7832 0.5000 (multiplicity 8)  2 B 2.26

Summary:
Energy of formation: -0.86 eV per atom
Raw total energy: -7.22 eV/atom